Record 1
SiPbBr2 | PBE | relaxed

Calculated values
The energy comes out at -2.91 eV/atom. The calculation puts the energy above the most stable polymorph in this dataset at 411 meV per atom. The value obtained for the uncorrected formation energy is 213 meV per atom.

Unit cell a=7.5112 b=7.5112 c=7.5112 alpha=90.00 beta=90.00 gamma=90.00
Closest atoms and distances in Å follow each position.
Space group Fm-3m (No. 225)
Unique sites:
1 Si 0.0000 0.0000 0.0000  8 Br 3.25
2 Pb 0.0000 0.0000 0.5000  8 Br 3.25
3 Br 0.2500 0.2500 0.2500  4 Pb 3.25, 4 Si 3.25

Record 2
Si2PbBr | PBE | relaxed

Calculated values
The energy comes out at -3.54 eV/atom. The calculation puts the energy above the most stable polymorph in this dataset at 507 meV per atom. The value obtained for the uncorrected formation energy is 512 meV per atom.

Unit cell a=5.8755 b=5.8755 c=5.7408 alpha=90.00 beta=90.00 gamma=90.00
Closest atoms and distances in Å follow each position.
Space group I4/mmm (No. 139)
Unique sites:
1 Si 0.0000 0.5000 0.0000  2 Si 2.87, 2 Br 2.94, 2 Pb 2.94
2 Pb 0.0000 0.0000 0.0000  2 Br 2.87, 4 Si 2.94
3 Br 0.0000 0.0000 0.5000  2 Pb 2.87, 4 Si 2.94

Record 3
SiTePb2Br | PBE | relaxed

Calculated values
The energy comes out at -3.35 eV/atom. The value obtained for the uncorrected formation energy is 184 meV per atom.

Unit cell a=5.6567 b=5.6567 c=5.2003 alpha=90.00 beta=90.00 gamma=90.00
Closest atoms and distances in Å follow each position.
Space group P4/mmm (No. 123)
Unique sites:
1 Si 0.0000 0.0000 0.0000  2 Te 2.60, 4 Pb 2.83
2 Te 0.0000 0.0000 0.5000  2 Si 2.60
3 Pb 0.0000 0.5000 0.0000  2 Si 2.83
4 Br 0.5000 0.5000 0.5000  8 Pb 3.84, 4 Te 4.00

Record 4
V2SiPbBr | PBE | relaxed

Calculated values
The energy comes out at -4.39 eV/atom. The value obtained for the uncorrected formation energy is 1416 meV per atom.

Unit cell a=5.4357 b=5.4357 c=5.1350 alpha=90.00 beta=90.00 gamma=90.00
Closest atoms and distances in Å follow each position.
Space group P4/mmm (No. 123)
Unique sites:
1 V 0.0000 0.5000 0.0000  2 Pb 2.72
2 Si 0.0000 0.0000 0.5000  2 Pb 2.57
3 Pb 0.0000 0.0000 0.0000  2 Si 2.57, 4 V 2.72
4 Br 0.5000 0.5000 0.5000  8 V 3.74, 4 Si 3.84

Record 5
Sm7PbBr12 | PBE | relaxed

Calculated values
The energy comes out at -4.34 eV/atom. The value obtained for the uncorrected formation energy is -1497 meV per atom.

Unit cell a=16.6041 b=16.6041 c=7.9859 alpha=90.00 beta=90.00 gamma=120.00
Closest atoms and distances in Å follow each position.
Space group R-3 (No. 148, hexagonal axes)
Unique sites:
1 Sm 0.0000 0.0000 0.0000  6 Br 3.06, 6 Sm 3.40
2 Sm 0.0505 0.8726 0.2690  6 Br 2.98-3.15, 1 Pb 3.22
3 Pb 0.0000 0.0000 0.5000  6 Sm 3.22
4 Br 0.0499 0.4516 0.1569  3 Sm 2.98-3.10
5 Br 0.0556 0.8601 0.8762  4 Sm 3.01-3.15

Record 6
Sm6PbBr8 | PBE | relaxed

Calculated values
The energy comes out at -4.37 eV/atom. The value obtained for the uncorrected formation energy is -1340 meV per atom.

Unit cell a=7.1992 b=7.1992 c=33.1684 alpha=90.00 beta=90.00 gamma=120.00
Closest atoms and distances in Å follow each position.
Space group R-3 (No. 148, hexagonal axes)
Unique sites:
1 Sm 0.0001 0.3485 0.4472  5 Br 2.93-3.03, 1 Pb 3.06
2 Pb 0.0000 0.0000 0.5000  6 Sm 3.06
3 Br 0.0000 0.0000 0.1666  6 Sm 2.93
4 Br 0.0001 0.3217 0.6080  3 Sm 3.00-3.03

Record 7
SmPbBr | PBE | relaxed

Calculated values
The energy comes out at -4.01 eV/atom. The value obtained for the uncorrected formation energy is -639 meV per atom.

Unit cell a=5.6755 b=17.8220 c=4.8502 alpha=90.00 beta=90.00 gamma=90.00
Closest atoms and distances in Å follow each position.
Space group Cmcm (No. 63)
Unique sites:
1 Sm 0.0000 0.1180 0.2500  2 Br 2.87, 2 Pb 3.07
2 Pb 0.0000 0.4478 0.7500  2 Pb 3.06, 2 Sm 3.07
3 Br 0.0000 0.2047 0.7500  2 Sm 2.87

Record 8
SmTlPbBr6 | PBE | relaxed

Calculated values
The energy comes out at -3.66 eV/atom. The value obtained for the uncorrected formation energy is -1348 meV per atom.

Unit cell a=7.7038 b=7.7038 c=14.2358 alpha=90.00 beta=90.00 gamma=120.00
Closest atoms and distances in Å follow each position.
Space group P-31c (No. 163)
Unique sites:
1 Sm 0.3333 0.6667 0.2500  6 Br 2.88
2 Tl 0.0000 0.0000 0.0000  6 Br 3.39
3 Pb 0.3333 0.6667 0.7500  6 Br 3.06
4 Br 0.0175 0.3730 0.1332  1 Sm 2.88, 1 Pb 3.06

What did the eighth record say?
SmTlPbBr6 | PBE | relaxed

Calculated values
The energy comes out at -3.66 eV/atom. The value obtained for the uncorrected formation energy is -1348 meV per atom.

Unit cell a=7.7038 b=7.7038 c=14.2358 alpha=90.00 beta=90.00 gamma=120.00
Closest atoms and distances in Å follow each position.
Space group P-31c (No. 163)
Unique sites:
1 Sm 0.3333 0.6667 0.2500  6 Br 2.88
2 Tl 0.0000 0.0000 0.0000  6 Br 3.39
3 Pb 0.3333 0.6667 0.7500  6 Br 3.06
4 Br 0.0175 0.3730 0.1332  1 Sm 2.88, 1 Pb 3.06

Which value of energy does entry 3 give?
-3.35 eV/atom

Among the records above, which one has the lowest energy?
V2SiPbBr